Here is NdGe3Pd3 after structural relaxation from the Alexandria database. Energies are from PBE-GGA.

Lattice parameters (Å, degrees): 6.797 6.797 6.797 90.00 90.00 90.00
Space group Pm-3n (No. 223)
One atom of each set of equivalent atoms:
Nd: 0.000 0.000 0.000 [2 per cell]
Ge: 0.000 0.250 0.500 [6 per cell]
Pd: 0.000 0.500 0.250 [6 per cell]

Values from the calculation:
The relative energy among the computed polymorphs is 0.172 eV per atom. The value obtained for the density of states at the Fermi level is 10.65 states/eV per cell. The calculated volume is 22.4 A^3/atom. Its formation energy is -0.31 eV/atom.

---

Here is Sc2GaNi9 after structural relaxation from the Alexandria database. Energies are from PBE-GGA.

Lattice parameters (Å, degrees): 3.690 3.690 10.884 90.00 90.00 90.00
Space group P4/mmm (No. 123)
One atom of each set of equivalent atoms:
Sc: 0.000 0.000 0.171 [2 per cell]
Ga: 0.000 0.000 0.500 [1 per cell]
Ni: 0.000 0.500 0.000 [2 per cell]
Ni: 0.000 0.500 0.345 [4 per cell]
Ni: 0.500 0.500 0.172 [2 per cell]
Ni: 0.500 0.500 0.500 [1 per cell]

Values from the calculation:
The value obtained for the density of states at the Fermi level is 12.75 states/eV per cell. The calculated volume is 12.3 A^3/atom. Its formation energy is -0.36 eV/atom.

---

Here is Sc2OsSe after structural relaxation from the Alexandria database. Energies are from PBE-GGA.

Lattice parameters (Å, degrees): 6.394 6.851 3.288 90.00 90.00 90.00
Space group Cmmm (No. 65)
One atom of each set of equivalent atoms:
Sc: 0.250 0.250 0.000 [4 per cell]
Os: 0.000 0.000 0.500 [2 per cell]
Se: 0.000 0.500 0.500 [2 per cell]

Values from the calculation:
The value obtained for the density of states at the Fermi level is 3.22 states/eV per cell. For the energy relative to the elements, uncorrected, the calculation gives -0.661 eV per atom. The calculated volume is 18.0 A^3/atom.

---

Here is AgTe2 after structural relaxation from the Alexandria database. Energies are from PBE-GGA.

Lattice parameters (Å, degrees): 6.425 6.425 8.007 90.00 90.00 90.00
Space group I4/mcm (No. 140)
One atom of each set of equivalent atoms:
Ag: 0.000 0.000 0.250 [4 per cell]
Te: 0.157 0.343 0.000 [8 per cell]

Values from the calculation:
The value obtained for the density of states at the Fermi level is 9.93 states/eV per cell. For the energy relative to the elements, uncorrected, the calculation gives 0.122 eV per atom. The calculated volume is 27.5 A^3/atom.

---

Here is ReP2Pb after structural relaxation from the Alexandria database. Energies are from PBE-GGA.

Lattice parameters (Å, degrees): 4.701 4.701 3.164 90.00 90.00 90.00
Space group P4/mmm (No. 123)
One atom of each set of equivalent atoms:
Re: 0.000 0.000 0.000 [1 per cell]
P: 0.000 0.500 0.500 [2 per cell]
Pb: 0.500 0.500 0.000 [1 per cell]

Values from the calculation:
The value obtained for the density of states at the Fermi level is 3.97 states/eV per cell. The calculated volume is 17.5 A^3/atom. Its formation energy is 0.99 eV/atom.

---

Here is InCuSe2S after structural relaxation from the Alexandria database. Energies are from PBE-GGA.

Lattice parameters (Å, degrees): 4.576 4.576 5.999 90.00 90.00 90.00
Space group P4/mmm (No. 123)
One atom of each set of equivalent atoms:
In: 0.000 0.000 0.000 [1 per cell]
Cu: 0.000 0.000 0.500 [1 per cell]
Se: 0.000 0.500 0.500 [2 per cell]
S: 0.500 0.500 0.000 [1 per cell]

Values from the calculation:
The value obtained for the density of states at the Fermi level is 4.00 states/eV per cell. For the energy relative to the elements, uncorrected, the calculation gives 0.447 eV per atom. The calculated volume is 25.1 A^3/atom.

---

Here is SmY5Er5 after structural relaxation from the Alexandria database. Energies are from PBE-GGA.

Lattice parameters (Å, degrees): 6.0592 6.0592 11.5285 90.00 90.00 120.00
Space group P-6m2 (No. 187)
One atom of each set of equivalent atoms:
Sm: 0.0000 0.0000 0.0000 [1 per cell]
Y: 0.0000 0.0000 0.3219 [2 per cell]
Y: 0.3333 0.6667 0.1596 [2 per cell]
Y: 0.6667 0.3333 0.0000 [1 per cell]
Er: 0.0017 0.5008 0.5000 [3 per cell]
Er: 0.6667 0.3333 0.2660 [2 per cell]

Values from the calculation:
The relative energy among the computed polymorphs is 0.149 eV per atom. The value obtained for the density of states at the Fermi level is 21.64 states/eV per cell. The calculated volume is 33.3 A^3/atom. Its formation energy is 0.30 eV/atom.

---

Here is La3Pr2Sm6 after structural relaxation from the Alexandria database. Energies are from PBE-GGA.

Lattice parameters (Å, degrees): 4.888 4.888 33.960 90.00 90.00 90.00
Space group I4/mmm (No. 139)
One atom of each set of equivalent atoms:
La: 0.000 0.000 0.000 [2 per cell]
La: 0.000 0.000 0.206 [4 per cell]
Pr: 0.000 0.000 0.454 [4 per cell]
Sm: 0.000 0.000 0.308 [4 per cell]
Sm: 0.000 0.500 0.120 [8 per cell]

Values from the calculation:
The relative energy among the computed polymorphs is 0.094 eV per atom. The value obtained for the density of states at the Fermi level is 28.22 states/eV per cell. The calculated volume is 36.9 A^3/atom. Its formation energy is 0.24 eV/atom.

---

Here is InFe2 after structural relaxation from the Alexandria database. Energies are from PBE-GGA.

Lattice parameters (Å, degrees): 5.938 5.938 5.502 90.00 90.00 90.00
Space group I4/mcm (No. 140)
One atom of each set of equivalent atoms:
In: 0.000 0.000 0.250 [4 per cell]
Fe: 0.134 0.366 0.000 [8 per cell]

Values from the calculation:
The value obtained for the density of states at the Fermi level is 6.88 states/eV per cell. The calculated volume is 16.2 A^3/atom. Its formation energy is 0.58 eV/atom.

---

Here is Ca3Sb4 after structural relaxation from the Alexandria database. Energies are from PBE-GGA.

Lattice parameters (Å, degrees): 11.954 4.350 16.196 90.00 90.04 90.00
Space group Cm (No. 8)
One atom of each set of equivalent atoms:
Ca: 0.000 0.000 0.000 [2 per cell]
Ca: 0.001 0.000 0.306 [2 per cell]
Ca: 0.084 0.500 0.653 [2 per cell]
Ca: 0.235 0.500 0.153 [2 per cell]
Ca: 0.317 0.000 0.806 [2 per cell]
Ca: 0.319 0.000 0.500 [2 per cell]
Sb: 0.025 0.000 0.795 [2 per cell]
Sb: 0.027 0.000 0.510 [2 per cell]
Sb: 0.158 0.500 0.903 [2 per cell]
Sb: 0.160 0.500 0.403 [2 per cell]
Sb: 0.292 0.000 0.011 [2 per cell]
Sb: 0.293 0.000 0.295 [2 per cell]
Sb: 0.351 0.500 0.653 [2 per cell]
Sb: 0.467 0.000 0.153 [2 per cell]

Values from the calculation:
The value obtained for the density of states at the Fermi level is 13.46 states/eV per cell. For the energy relative to the elements, uncorrected, the calculation gives -0.742 eV per atom. The calculated volume is 30.1 A^3/atom.

---

Here is FeAsIrC2 after structural relaxation from the Alexandria database. Energies are from PBE-GGA.

Lattice parameters (Å, degrees): 3.848 3.848 4.591 90.00 90.00 90.00
Space group P4/mmm (No. 123)
One atom of each set of equivalent atoms:
Fe: 0.000 0.000 0.000 [1 per cell]
As: 0.000 0.000 0.500 [1 per cell]
Ir: 0.500 0.500 0.000 [1 per cell]
C: 0.000 0.500 0.500 [2 per cell]

Values from the calculation:
The value obtained for the density of states at the Fermi level is 5.30 states/eV per cell. The calculated volume is 13.6 A^3/atom. Its formation energy is 2.41 eV/atom.

---

Here is BeNi15Ge4 after structural relaxation from the Alexandria database. Energies are from PBE-GGA.

Lattice parameters (Å, degrees): 3.554 3.554 17.610 90.00 90.00 90.00
Space group P4/mmm (No. 123)
One atom of each set of equivalent atoms:
Be: 0.000 0.000 0.000 [1 per cell]
Ni: 0.000 0.500 0.092 [4 per cell]
Ni: 0.000 0.500 0.296 [4 per cell]
Ni: 0.000 0.500 0.500 [2 per cell]
Ni: 0.500 0.500 0.000 [1 per cell]
Ni: 0.500 0.500 0.196 [2 per cell]
Ni: 0.500 0.500 0.398 [2 per cell]
Ge: 0.000 0.000 0.193 [2 per cell]
Ge: 0.000 0.000 0.398 [2 per cell]

Values from the calculation:
The value obtained for the density of states at the Fermi level is 19.51 states/eV per cell. The calculated volume is 11.1 A^3/atom. Its formation energy is -0.26 eV/atom.

---

Here is NdYGa2Pd2 after structural relaxation from the Alexandria database. Energies are from PBE-GGA.

Lattice parameters (Å, degrees): 4.5187 4.5187 7.1267 90.00 90.00 120.00
Space group P-3m1 (No. 164)
One atom of each set of equivalent atoms:
Nd: 0.0000 0.0000 0.0000 [1 per cell]
Y: 0.0000 0.0000 0.5000 [1 per cell]
Ga: 0.3333 0.6667 0.2670 [2 per cell]
Pd: 0.3333 0.6667 0.7305 [2 per cell]

Values from the calculation:
The value obtained for the density of states at the Fermi level is 4.45 states/eV per cell. The calculated volume is 21.0 A^3/atom. Its formation energy is -0.84 eV/atom.

---

Here is Nd2HoEr5Th after structural relaxation from the Alexandria database. Energies are from PBE-GGA.

Lattice parameters (Å, degrees): 8.680 8.680 15.328 90.00 90.00 90.00
Space group I4/mcm (No. 140)
One atom of each set of equivalent atoms:
Nd: 0.116 0.384 0.000 [8 per cell]
Ho: 0.000 0.500 0.250 [4 per cell]
Er: 0.000 0.000 0.000 [4 per cell]
Er: 0.213 0.287 0.360 [16 per cell]
Th: 0.000 0.000 0.250 [4 per cell]

Values from the calculation:
The value obtained for the density of states at the Fermi level is 42.47 states/eV per cell. The calculated volume is 32.1 A^3/atom. Its formation energy is 0.30 eV/atom.

---

Here is TbYHo2Se4 after structural relaxation from the Alexandria database. Energies are from PBE-GGA.

Lattice parameters (Å, degrees): 7.077 4.025 7.090 90.00 108.87 90.00
Space group P2/m (No. 10)
One atom of each set of equivalent atoms:
Tb: 0.000 0.000 0.000 [1 per cell]
Y: 0.000 0.500 0.500 [1 per cell]
Ho: 0.500 0.000 0.500 [1 per cell]
Ho: 0.500 0.500 0.000 [1 per cell]
Se: 0.253 0.000 0.751 [2 per cell]
Se: 0.254 0.500 0.252 [2 per cell]

Values from the calculation:
The value obtained for the density of states at the Fermi level is 4.68 states/eV per cell. For the energy relative to the elements, uncorrected, the calculation gives -1.743 eV per atom. The calculated volume is 23.9 A^3/atom.

---

Here is La4AgIr after structural relaxation from the Alexandria database. Energies are from PBE-GGA.

Lattice parameters (Å, degrees): 9.342 15.298 7.117 90.00 126.56 90.00
Space group C2/c (No. 15)
One atom of each set of equivalent atoms:
La: 0.147 0.212 0.135 [8 per cell]
La: 0.239 0.040 0.736 [8 per cell]
Ag: 0.000 0.379 0.750 [4 per cell]
Ir: 0.000 0.081 0.250 [4 per cell]

Values from the calculation:
The relative energy among the computed polymorphs is 0.087 eV per atom. The value obtained for the density of states at the Fermi level is 30.11 states/eV per cell. The calculated volume is 34.0 A^3/atom. Its formation energy is -0.33 eV/atom.

---

Here is Sm2MgZn5 after structural relaxation from the Alexandria database. Energies are from PBE-GGA.

Lattice parameters (Å, degrees): 4.398 16.521 9.136 90.00 90.00 90.00
Space group Cmcm (No. 63)
One atom of each set of equivalent atoms:
Sm: 0.000 0.000 0.000 [4 per cell]
Sm: 0.000 0.204 0.250 [4 per cell]
Mg: 0.000 0.446 0.750 [4 per cell]
Zn: 0.000 0.186 0.608 [8 per cell]
Zn: 0.000 0.348 0.518 [8 per cell]
Zn: 0.000 0.394 0.250 [4 per cell]

Values from the calculation:
The value obtained for the density of states at the Fermi level is 19.97 states/eV per cell. The calculated volume is 20.7 A^3/atom. Its formation energy is -0.25 eV/atom.

---

Here is Tl7SbS6 after structural relaxation from the Alexandria database. Energies are from PBE-GGA.

Lattice parameters (Å, degrees): 7.817 13.081 17.972 90.00 90.00 90.00
Space group Ibam (No. 72)
One atom of each set of equivalent atoms:
Tl: 0.000 0.000 0.250 [4 per cell]
Tl: 0.157 0.176 0.113 [16 per cell]
Tl: 0.172 0.423 0.000 [8 per cell]
Sb: 0.000 0.500 0.250 [4 per cell]
S: 0.096 0.254 0.500 [8 per cell]
S: 0.181 0.395 0.176 [16 per cell]

Values from the calculation:
For the energy relative to the elements, uncorrected, the calculation gives -0.285 eV per atom. The calculated volume is 32.8 A^3/atom.

---

Here is Tb2Mg5Sc after structural relaxation from the Alexandria database. Energies are from PBE-GGA.

Lattice parameters (Å, degrees): 5.107 5.107 15.444 90.00 90.00 90.00
Space group I4/mmm (No. 139)
One atom of each set of equivalent atoms:
Tb: 0.000 0.000 0.245 [4 per cell]
Mg: 0.000 0.000 0.000 [2 per cell]
Mg: 0.000 0.500 0.113 [8 per cell]
Sc: 0.000 0.000 0.500 [2 per cell]

Values from the calculation:
The value obtained for the density of states at the Fermi level is 13.94 states/eV per cell. The calculated volume is 25.2 A^3/atom. Its formation energy is -0.05 eV/atom.

---

Here is HfThPa after structural relaxation from the Alexandria database. Energies are from PBE-GGA.

Lattice parameters (Å, degrees): 3.258 3.258 14.846 90.00 90.00 90.00
Space group I4mm (No. 107)
One atom of each set of equivalent atoms:
Hf: 0.000 0.000 0.000 [2 per cell]
Th: 0.000 0.000 0.331 [2 per cell]
Pa: 0.000 0.000 0.657 [2 per cell]

Values from the calculation:
The relative energy among the computed polymorphs is 0.000 eV per atom. The value obtained for the density of states at the Fermi level is 9.36 states/eV per cell. The calculated volume is 26.3 A^3/atom. Its formation energy is 0.14 eV/atom.